Below is a geometry-optimized Dy2Sc3Ni4 structure, with properties calculated at the PBE level.

Output
energy of formation = -0.435 eV/atom
final energy = -6.138 eV per atom

Geometry as CIF:
```
data_Dy2Sc3Ni4
_chemical_formula_sum 'Dy4 Sc6 Ni8'
_symmetry_space_group_name_H-M 'P 1 21/c 1'
_symmetry_Int_Tables_number 14
_cell_length_a 6.998
_cell_length_b 6.993
_cell_length_c 7.324
_cell_angle_alpha 90.00
_cell_angle_beta 108.29
_cell_angle_gamma 90.00
loop_
_symmetry_equiv_pos_as_xyz
'x,y,z'
'-x,-y,-z'
'-x,y+1/2,-z+1/2'
'x,-y+1/2,z+1/2'
loop_
_atom_site_label
_atom_site_type_symbol
_atom_site_fract_x
_atom_site_fract_y
_atom_site_fract_z
_atom_site_occupancy
Dy1 Dy 0.197 0.174 0.085 1
Sc1 Sc 0.245 0.668 0.249 1
Sc2 Sc 0.500 0.000 0.500 1
Ni1 Ni 0.088 0.539 0.876 1
Ni2 Ni 0.498 0.626 0.618 1
```